[1]
Below is ScFeNiGe after structural relaxation, with properties calculated at the GGA-PBE level.

POSCAR file:
```
ScFeNiGe
1.0
4.240 0.000 0.000
2.120 3.672 0.000
2.120 1.224 3.462
Sc Ni Ge Fe
1 1 1 1
Cartesian
2.120 1.224 0.866
4.240 2.448 1.731
6.361 3.672 2.597
0.000 0.000 0.000
```

Calculated values
formation enthalpy at 0 K: -0.37 eV/atom
symmetry: F-43m (216)

***

[2]
Below is FeSi2Ni7Ge2 after structural relaxation, with properties calculated at the GGA-PBE level.

POSCAR file:
```
FeSi2Ni7Ge2
1.0
3.455 -0.002 0.012
0.003 3.455 0.012
1.687 1.685 12.941
Fe Si Ni Ge
1 2 7 2
Cartesian
0.000 0.000 0.000
3.426 3.422 9.579
1.719 1.717 3.384
1.729 1.727 0.012
1.711 1.709 5.690
3.434 3.430 7.274
3.451 1.721 1.848
1.725 3.449 1.848
3.420 1.690 11.115
1.694 3.418 11.115
3.442 3.438 4.887
1.703 1.701 8.077
```

Calculated values
symmetry: I4/mmm (139)
formation energy from raw total energies: -0.090 eV per atom

***

[3]
Below is SmFeNiGe2 after structural relaxation, with properties calculated at the GGA-PBE level.

POSCAR file:
```
SmFeNiGe2
1.0
-2.987 0.698 -2.751
-2.776 0.113 3.043
3.595 4.493 0.324
Sm Fe Ni Ge
1 1 1 2
Cartesian
0.000 0.000 0.000
-1.137 2.798 -1.141
-1.032 2.505 1.756
-2.694 1.691 0.269
0.526 3.612 0.346
```

Calculated values
formation enthalpy at 0 K: -0.57 eV/atom
symmetry: I-4m2 (119)

***

[4]
Below is FeNiSn2Ge after structural relaxation, with properties calculated at the GGA-PBE level.

POSCAR file:
```
FeNiSn2Ge
1.0
4.785 0.000 0.000
0.000 4.318 0.000
0.000 0.000 4.785
Ni Ge Sn Fe
1 1 2 1
Cartesian
2.393 2.159 2.393
0.000 2.159 0.000
0.000 0.000 2.393
2.393 0.000 0.000
0.000 0.000 0.000
```

Calculated values
formation enthalpy at 0 K: 0.47 eV/atom
symmetry: P4/mmm (123)

***

[5]
Below is Ta2FeNi7Ge2 after structural relaxation, with properties calculated at the GGA-PBE level.

POSCAR file:
```
Ta2FeNi7Ge2
1.0
-2.107 1.678 -1.927
-0.806 -2.806 -1.563
-12.165 -2.884 7.939
Ta Fe Ni Ge
2 1 7 2
Cartesian
-10.796 -2.837 3.636
-4.281 -1.176 0.814
0.000 0.000 0.000
-1.456 -0.564 -1.745
-6.295 -1.612 2.632
-8.783 -2.400 1.817
-3.917 -0.030 -1.432
-3.266 -2.272 -1.250
-11.811 -1.741 5.700
-11.161 -3.983 5.882
-7.009 -2.016 0.217
-8.069 -1.997 4.233
```

Calculated values
formation enthalpy at 0 K: 0.00 eV/atom
symmetry: I4/mmm (139)

***

[6]
Below is TbFeNiGe3 after structural relaxation, with properties calculated at the GGA-PBE level.

POSCAR file:
```
TbFeNiGe3
1.0
5.784 0.000 0.000
0.000 6.238 0.000
0.000 -3.119 6.194
Tb Fe Ni Ge
2 2 2 6
Cartesian
4.338 0.000 2.508
1.446 3.119 3.686
1.446 0.000 0.385
4.338 3.119 5.808
1.446 0.000 4.840
4.338 3.119 1.354
1.446 0.000 2.642
0.000 1.797 0.000
2.892 4.441 0.000
2.892 1.797 0.000
0.000 4.441 0.000
4.338 3.119 3.552
```

Calculated values
formation enthalpy at 0 K: -0.19 eV/atom
symmetry: Cmcm (63)

***

[7]
Below is FeTcNiGe after structural relaxation, with properties calculated at the GGA-PBE level.

POSCAR file:
```
FeTcNiGe
1.0
-2.546 2.510 -2.186
0.038 -0.112 -4.189
-3.256 -1.619 -2.082
Ni Ge Tc Fe
1 1 1 1
Cartesian
0.000 0.000 0.000
-1.441 0.195 -2.114
-2.882 0.390 -4.229
-4.322 0.584 -6.343
```

Calculated values
formation enthalpy at 0 K: -0.04 eV/atom
symmetry: F-43m (216)

***

[8]
Below is ThFeNiGe2 after structural relaxation, with properties calculated at the GGA-PBE level.

POSCAR file:
```
ThFeNiGe2
1.0
4.171 0.000 0.000
0.000 4.171 0.000
-2.085 -2.085 4.937
Th Fe Ni Ge
1 1 1 2
Cartesian
0.000 0.000 0.000
2.085 0.000 2.468
0.000 2.085 2.468
2.085 2.085 1.305
0.000 0.000 3.632
```

Calculated values
formation enthalpy at 0 K: -0.57 eV/atom
symmetry: I-4m2 (119)

***

[9]
Below is U2FeNi3Ge4 after structural relaxation, with properties calculated at the GGA-PBE level.

POSCAR file:
```
U2FeNi3Ge4
1.0
-1.563 -3.524 -1.441
0.607 -1.769 3.667
-8.572 2.691 2.717
U Fe Ni Ge
2 1 3 4
Cartesian
-3.015 -1.061 -0.013
-6.035 1.106 3.842
-4.764 -1.301 2.471
-4.286 1.346 1.358
-8.298 0.598 1.662
-0.752 -0.553 2.168
-0.478 -2.646 1.113
0.000 0.000 0.000
-6.191 -0.064 0.994
-2.858 0.108 2.835
```

Calculated values
formation enthalpy at 0 K: -0.35 eV/atom
symmetry: P-4m2 (115)

***

[10]
Below is UFeNiGe3 after structural relaxation, with properties calculated at the GGA-PBE level.

POSCAR file:
```
UFeNiGe3
1.0
7.163 0.000 0.000
0.000 5.845 0.000
0.000 -2.922 5.059
U Fe Ni Ge
2 2 2 6
Cartesian
5.372 0.000 2.828
1.791 2.922 2.230
1.791 0.000 4.476
5.372 2.922 0.582
1.791 2.922 4.909
5.372 0.000 0.150
1.791 0.000 2.201
0.000 1.502 0.000
3.581 4.343 0.000
3.581 1.502 0.000
0.000 4.343 0.000
5.372 2.922 2.858
```

Calculated values
formation enthalpy at 0 K: 0.05 eV/atom
symmetry: Cmcm (63)

***

| no. | volume (Å³ per cell) |
| --- | --- |
| 1 | 53.92 |
| 2 | 154.37 |
| 3 | 84.42 |
| 4 | 98.87 |
| 5 | 160.37 |
| 6 | 223.45 |
| 7 | 52.03 |
| 8 | 85.88 |
| 9 | 159.01 |
| 10 | 211.76 |